*1*
Material: Sm2Y3Sc2
Method: DFT, PBE-GGA
State: relaxed

Summary:
As for the density of states at the Fermi level: 11.74 states/eV per cell. The space-group type is C2/m.

Cell lengths 3.425, 8.520, 8.647 Å; angles 118.43, 101.42, 90.00 degrees
Element x y z (fractional)
Sm: 0.860 0.689 0.720
Sm: 0.140 0.311 0.280
Y: 0.000 0.500 0.000
Y: 0.212 0.807 0.424
Y: 0.788 0.193 0.576
Sc: 0.564 0.909 0.129
Sc: 0.436 0.091 0.871


*2*
Material: Sm2Y3Sc2
Method: DFT, PBE-GGA
State: relaxed

Summary:
As for the density of states at the Fermi level: 11.38 states/eV per cell. The space-group type is Cmmm.

Cell lengths 5.224, 3.488, 12.016 Å; angles 90.00, 77.45, 90.00 degrees
Element x y z (fractional)
Sm: 0.576 0.500 0.848
Sm: 0.424 0.500 0.152
Y: 0.843 0.000 0.315
Y: 0.000 0.000 0.000
Y: 0.157 0.000 0.685
Sc: 0.717 0.500 0.566
Sc: 0.283 0.500 0.434


*2* is the most stable structure; the next one sits 99 meV per atom above it.